## SrHg2As (PBE)

Data for a geometry-optimized SrHg2As structure.

The structure in POSCAR format:
```
SrHg2As
1.0
-3.252 -3.421 -2.390
-5.238 0.695 0.277
-2.703 1.482 -4.300
Sr Hg As
1 2 1
Cartesian
-2.798 -0.311 -1.603
0.000 0.000 0.000
-8.395 -0.934 -4.810
-5.597 -0.622 -3.206
```

Output
As for the total DFT energy (no corrections): -2.125 eV per atom.